Here is a geometry-optimized NpZnInNi structure from Alexandria. Energies are from GGA-PBE.

Properties
**E_form**: 0.04 eV per atom
**M_tot**: 3.73 μB/f.u.

a = 6.692 Å, b = 6.692 Å, c = 6.692 Å
α = 90.00°, β = 90.00°, γ = 90.00°
Space group F-43m (No. 216)
One atom of each set of equivalent atoms:
Np 0.000 0.000 0.000
Zn 0.250 0.250 0.750
In 0.000 0.000 0.500
Ni 0.250 0.250 0.250